*a*
A plane-wave DFT calculation with GGA-PBE was carried out for CaNdIr after structural relaxation.

Properties
The density of states at the Fermi level comes out at 2.93 states/eV per cell. As for the size of the total moment: 0.00 μB per cell.

POSCAR file:
```
CaNdIr
1.0
-3.9027 -1.5608 1.1694
1.5077 -5.5347 -2.3550
4.1188 0.3990 6.1397
Ir Nd Ca
2 2 2
direct
0.7745 0.1726 0.5489 Ir
0.2255 0.8274 0.4511 Ir
0.6032 0.8104 0.2064 Nd
0.3968 0.1896 0.7936 Nd
0.8371 0.6734 0.6741 Ca
0.1629 0.3266 0.3259 Ca
```

***

*b*
A plane-wave DFT calculation with GGA-PBE was carried out for CaNdIr after structural relaxation.

Properties
The density of states at the Fermi level comes out at 4.69 states/eV per cell. As for the size of the total moment: 0.00 μB per cell.

POSCAR file:
```
CaNdIr
1.0
-4.0440 4.8093 -0.6100
-2.0535 -1.3112 3.2761
7.2940 7.0723 7.4025
Ca Ir Nd
4 4 4
direct
0.7500 0.5000 0.2500 Ca
0.7500 0.0000 0.7500 Ca
0.2500 0.5000 0.2500 Ca
0.2500 0.0000 0.7500 Ca
0.5000 0.5000 0.8783 Ir
0.0000 0.5000 0.6217 Ir
0.5000 0.0000 0.3783 Ir
0.0000 0.0000 0.1217 Ir
0.5000 0.0000 0.0286 Nd
0.5000 0.5000 0.5286 Nd
0.0000 0.5000 0.9714 Nd
0.0000 0.0000 0.4714 Nd
```

***

Computed stability ranking, most favorable first: *b*, *a*

***

*a*
A plane-wave DFT calculation with GGA-PBE was carried out for CaNd5Ir4 after structural relaxation.

Properties
The density of states at the Fermi level comes out at 4.78 states/eV per cell. As for the size of the total moment: 0.00 μB per cell.

POSCAR file:
```
CaNd5Ir4
1.0
4.3580 0.0000 0.0000
0.0000 7.4821 -1.2035
-2.1790 -2.3672 9.0539
Nd Ir Ca
5 4 1
direct
0.1640 0.4055 0.3279 Nd
0.8360 0.0763 0.6720 Nd
0.8360 0.5945 0.6721 Nd
0.1640 0.9237 0.3280 Nd
0.5000 0.5000 0.0000 Nd
0.0001 0.7420 0.0002 Ir
0.7042 0.2046 0.4084 Ir
0.2958 0.7954 0.5916 Ir
0.9999 0.2580 0.9998 Ir
0.5000 0.0000 0.0000 Ca
```

***

*b*
A plane-wave DFT calculation with GGA-PBE was carried out for CaNd5Ir4 after structural relaxation.

Properties
The density of states at the Fermi level comes out at 5.38 states/eV per cell. As for the size of the total moment: 0.00 μB per cell.

POSCAR file:
```
CaNd5Ir4
1.0
4.7434 0.0000 -1.5056
-0.0732 7.0179 -0.2304
-0.1196 -0.0760 7.8477
Ir Ca Nd
4 1 5
direct
0.0061 0.2620 0.0122 Ir
0.3302 0.2508 0.6604 Ir
0.9939 0.7380 0.9878 Ir
0.6698 0.7492 0.3396 Ir
0.5000 0.0000 0.0000 Ca
0.8392 0.9882 0.6784 Nd
0.1608 0.0118 0.3216 Nd
0.1678 0.5132 0.3357 Nd
0.8322 0.4868 0.6643 Nd
0.5000 0.5000 0.0000 Nd
```

***

Computed stability ranking, most favorable first: *b*, *a*

***

*a*
A plane-wave DFT calculation with GGA-PBE was carried out for CaNdZnIr after structural relaxation.

Properties
The density of states at the Fermi level comes out at 3.56 states/eV per cell. As for the size of the total moment: 0.00 μB per cell.

POSCAR file:
```
CaNdZnIr
1.0
-4.7568 -0.6199 -1.5088
-1.8420 -4.6310 -0.6699
-3.4317 -1.8267 3.1897
Zn Ca Ir Nd
1 1 1 1
direct
0.0000 0.0000 0.0000 Zn
0.2500 0.2500 0.2500 Ca
0.5000 0.5000 0.5000 Ir
0.7500 0.7500 0.7500 Nd
```

***

*b*
A plane-wave DFT calculation with GGA-PBE was carried out for CaNdZnIr after structural relaxation.

Properties
The density of states at the Fermi level comes out at 2.71 states/eV per cell. As for the size of the total moment: 0.00 μB per cell.

POSCAR file:
```
CaNdZnIr
1.0
4.1360 0.0000 0.0000
0.0000 4.1906 0.0000
-2.0680 0.0000 5.6113
Zn Nd Ir Ca
1 1 1 1
direct
0.5658 0.5000 0.1316 Zn
0.8626 0.5000 0.7253 Nd
0.4270 0.0000 0.8539 Ir
0.1446 0.0000 0.2891 Ca
```

***

Computed stability ranking, most favorable first: *b*, *a*

***

*a*
A plane-wave DFT calculation with GGA-PBE was carried out for CaNiIr3 after structural relaxation.

Properties
The density of states at the Fermi level comes out at 8.12 states/eV per cell. As for the size of the total moment: 3.24 μB per cell.

POSCAR file:
```
CaNiIr3
1.0
-3.1618 -3.1265 1.0624
1.8596 -0.4705 4.1498
-2.7286 3.3021 1.5971
Ir Ca Ni
3 1 1
direct
0.0000 0.0000 0.5000 Ir
0.0000 0.5000 0.0000 Ir
0.5000 0.0000 0.0000 Ir
0.5000 0.5000 0.5000 Ca
0.0000 0.0000 0.0000 Ni
```

***

*b*
A plane-wave DFT calculation with GGA-PBE was carried out for CaNiIr3 after structural relaxation.

Properties
The density of states at the Fermi level comes out at 7.70 states/eV per cell. As for the size of the total moment: 3.32 μB per cell.

POSCAR file:
```
CaNiIr3
1.0
4.7352 0.0000 0.0000
0.0000 4.7352 0.0000
0.0000 0.0000 4.7352
Ni Ir Ca
1 3 1
direct
0.5000 0.5000 0.5000 Ni
0.5000 0.0000 0.0000 Ir
0.0000 0.0000 0.5000 Ir
0.0000 0.5000 0.0000 Ir
0.0000 0.0000 0.0000 Ca
```

***

Computed stability ranking, most favorable first: *a*, *b*

***

*a*
A plane-wave DFT calculation with GGA-PBE was carried out for CaIrO4 after structural relaxation.

Properties
The density of states at the Fermi level comes out at 7.57 states/eV per cell. As for the size of the total moment: 1.91 μB per cell.

POSCAR file:
```
CaIrO4
1.0
5.3058 0.0000 0.0000
0.0000 5.3058 0.0000
-2.6529 -2.6529 5.7870
O Ir Ca
8 2 2
direct
0.6721 0.5823 0.8405 O
0.1684 0.2582 0.8405 O
0.0082 0.9221 0.3405 O
0.4177 0.8316 0.1595 O
0.7418 0.3279 0.1595 O
0.5816 0.9918 0.6595 O
0.3323 0.4184 0.3405 O
0.0779 0.6677 0.6595 O
0.2500 0.7500 0.5000 Ir
0.5000 0.5000 0.0000 Ir
0.0000 0.0000 0.0000 Ca
0.7500 0.2500 0.5000 Ca
```

***

*b*
A plane-wave DFT calculation with GGA-PBE was carried out for CaIrO4 after structural relaxation.

Properties
The density of states at the Fermi level comes out at 7.38 states/eV per cell. As for the size of the total moment: 1.82 μB per cell.

POSCAR file:
```
CaIrO4
1.0
-3.1994 3.5487 -1.9900
-3.5858 -1.2364 3.5602
2.4448 3.2910 3.6054
O Ir Ca
8 2 2
direct
0.5901 0.1312 0.8169 O
0.3058 0.3191 0.3809 O
0.9099 0.6312 0.1831 O
0.6942 0.6809 0.6191 O
0.8058 0.1809 0.3809 O
0.4099 0.8688 0.1831 O
0.1942 0.8191 0.6191 O
0.0901 0.3688 0.8169 O
0.5000 0.0000 0.5000 Ir
0.0000 0.5000 0.5000 Ir
0.5000 0.5000 0.0000 Ca
0.0000 0.0000 0.0000 Ca
```

***

Computed stability ranking, most favorable first: *b*, *a*

***

*a*
A plane-wave DFT calculation with GGA-PBE was carried out for Ca2Ir2O after structural relaxation.

Properties
The density of states at the Fermi level comes out at 2.90 states/eV per cell. As for the size of the total moment: 0.00 μB per cell.

POSCAR file:
```
Ca2Ir2O
1.0
5.6560 0.0000 0.0000
0.0000 5.6560 0.0000
2.8280 2.8280 3.2506
Ca Ir O
2 2 1
direct
0.7500 0.2500 0.5000 Ca
0.2500 0.7500 0.5000 Ca
0.3103 0.3103 0.3794 Ir
0.6897 0.6897 0.6206 Ir
0.0000 0.0000 0.0000 O
```

***

*b*
A plane-wave DFT calculation with GGA-PBE was carried out for Ca2Ir2O after structural relaxation.

Properties
The density of states at the Fermi level comes out at 5.95 states/eV per cell. As for the size of the total moment: 0.00 μB per cell.

POSCAR file:
```
Ca2Ir2O
1.0
6.5243 0.0000 0.0000
0.0000 6.5243 0.0000
0.0000 0.0000 4.4296
Ir O Ca
4 2 4
direct
0.3654 0.8654 0.0000 Ir
0.8654 0.6346 0.0000 Ir
0.1346 0.3654 0.0000 Ir
0.6346 0.1346 0.0000 Ir
0.5000 0.5000 0.0000 O
0.0000 0.0000 0.0000 O
0.1756 0.6756 0.5000 Ca
0.6756 0.8244 0.5000 Ca
0.3244 0.1756 0.5000 Ca
0.8244 0.3244 0.5000 Ca
```

***

Computed stability ranking, most favorable first: *a*, *b*

***

*a*
A plane-wave DFT calculation with GGA-PBE was carried out for Ca2IrO5 after structural relaxation.

Properties
The density of states at the Fermi level comes out at 7.30 states/eV per cell. As for the size of the total moment: 0.01 μB per cell.

POSCAR file:
```
Ca2IrO5
1.0
-2.7740 2.1266 1.1391
-0.9231 -3.4655 4.2218
3.5159 2.8996 3.1490
Ir O Ca
1 5 2
direct
0.0000 0.0000 0.0000 Ir
0.5000 0.0000 0.0000 O
0.0000 0.7508 0.2492 O
0.0000 0.2492 0.2492 O
0.0000 0.2492 0.7508 O
0.0000 0.7508 0.7508 O
0.5000 0.0000 0.5000 Ca
0.5000 0.5000 0.0000 Ca
```

***

*b*
A plane-wave DFT calculation with GGA-PBE was carried out for Ca2IrO5 after structural relaxation.

Properties
The density of states at the Fermi level comes out at 3.27 states/eV per cell. As for the size of the total moment: 6.05 μB per cell.

POSCAR file:
```
Ca2IrO5
1.0
-0.0629 2.7876 -2.9130
3.6839 -4.5894 -1.6805
-8.2078 -4.9268 -4.5375
O Ca Ir
10 4 2
direct
0.2991 0.5982 0.7500 O
0.2789 0.5577 0.1100 O
0.7211 0.4423 0.6100 O
0.0486 0.0971 0.1247 O
0.2789 0.5577 0.3900 O
0.7211 0.4423 0.8900 O
0.0486 0.0971 0.3753 O
0.9514 0.9029 0.8753 O
0.9514 0.9029 0.6247 O
0.7009 0.4018 0.2500 O
0.8553 0.7107 0.4297 Ca
0.1447 0.2893 0.9297 Ca
0.8553 0.7107 0.0703 Ca
0.1447 0.2893 0.5703 Ca
0.8346 0.6693 0.7500 Ir
0.1654 0.3307 0.2500 Ir
```

***

Computed stability ranking, most favorable first: *b*, *a*

***

*a*
A plane-wave DFT calculation with GGA-PBE was carried out for Ca2IrRhO6 after structural relaxation.

Properties
The density of states at the Fermi level comes out at 7.02 states/eV per cell. As for the size of the total moment: 2.16 μB per cell.

POSCAR file:
```
Ca2IrRhO6
1.0
-1.6591 -3.2131 1.8342
-2.4068 -1.5074 -4.8178
4.4996 -3.0601 -1.2904
O Ir Ca Rh
6 1 2 1
direct
0.7005 0.2473 0.7527 O
0.7005 0.7527 0.7527 O
0.1432 0.5000 0.5000 O
0.7005 0.7527 0.2473 O
0.7005 0.2473 0.2473 O
0.1481 0.0000 0.0000 O
0.6294 0.0000 0.0000 Ir
0.0499 0.0000 0.5000 Ca
0.0499 0.5000 0.0000 Ca
0.6245 0.5000 0.5000 Rh
```

***

*b*
A plane-wave DFT calculation with GGA-PBE was carried out for Ca2IrRhO6 after structural relaxation.

Properties
The density of states at the Fermi level comes out at 5.19 states/eV per cell. As for the size of the total moment: 1.76 μB per cell.

POSCAR file:
```
Ca2IrRhO6
1.0
-3.2627 -0.8115 3.9697
-0.3389 -0.4268 5.1735
-1.1759 7.2596 0.5359
O Rh Ca Ir
6 1 2 1
direct
0.3757 0.3757 0.4478 O
0.6243 0.6243 0.5522 O
0.3717 0.3717 0.0501 O
0.9223 0.9223 0.7463 O
0.6283 0.6283 0.9499 O
0.0777 0.0777 0.2537 O
0.0000 0.0000 0.0000 Rh
0.7504 0.7504 0.2423 Ca
0.2496 0.2496 0.7577 Ca
0.0000 0.0000 0.5000 Ir
```

***

Computed stability ranking, most favorable first: *b*, *a*

***

*a*
A plane-wave DFT calculation with GGA-PBE was carried out for Ca2TiIrO6 after structural relaxation.

Properties
The density of states at the Fermi level comes out at 5.01 states/eV per cell. As for the size of the total moment: 0.00 μB per cell.

POSCAR file:
```
Ca2TiIrO6
1.0
-2.9917 2.1619 -1.3380
-3.1413 -4.5743 -0.3674
-1.7613 0.7906 5.2154
O Ca Ir Ti
6 2 1 1
direct
0.6740 0.2462 0.7538 O
0.6740 0.2462 0.2462 O
0.1607 0.5000 0.5000 O
0.6740 0.7538 0.7538 O
0.6740 0.7538 0.2462 O
0.1576 0.0000 0.0000 O
0.0737 0.0000 0.5000 Ca
0.0737 0.5000 0.0000 Ca
0.6599 0.5000 0.5000 Ir
0.6251 0.0000 0.0000 Ti
```

***

*b*
A plane-wave DFT calculation with GGA-PBE was carried out for Ca2TiIrO6 after structural relaxation.

Properties
The density of states at the Fermi level comes out at 10.20 states/eV per cell. As for the size of the total moment: 2.01 μB per cell.

POSCAR file:
```
Ca2TiIrO6
1.0
5.5560 0.0000 0.0000
0.0000 5.4186 0.0020
0.0000 5.4376 7.7343
Ca O Ti Ir
4 12 2 2
direct
0.9496 0.2390 0.7495 Ca
0.0504 0.7610 0.2505 Ca
0.5504 0.2390 0.2495 Ca
0.4496 0.7610 0.7505 Ca
0.2099 0.8443 0.9548 O
0.7030 0.7491 0.9569 O
0.7901 0.1557 0.0452 O
0.2970 0.2509 0.0431 O
0.5228 0.3319 0.7530 O
0.7970 0.7491 0.4569 O
0.4772 0.6681 0.2470 O
0.7099 0.1557 0.5452 O
0.2901 0.8443 0.4548 O
0.0228 0.6681 0.7470 O
0.2030 0.2509 0.5431 O
0.9772 0.3319 0.2530 O
0.5000 0.0000 0.0000 Ti
0.0000 0.0000 0.5000 Ti
0.0000 0.5000 0.0000 Ir
0.5000 0.5000 0.5000 Ir
```

***

Computed stability ranking, most favorable first: *b*, *a*